[1]
VASP calculation (GGA-PBEsol) on crystalline Cd2Re at its relaxed geometry.

Cell: 4.7087 4.7087 2.7175 Å, 90.00 90.00 120.00°
Last column: nearest neighbours and their distance in Å.
Space group P-3m1 (No. 164)
Unique sites:
1 Cd 0.3333 0.6667 0.0097 x2  5 Cd 2.72, 3 Re 3.03
2 Re 0.0000 0.0000 0.5000 x1  2 Re 2.72, 6 Cd 3.03

Results
As for the raw total energy: -13.59 eV/cell. As for the crystal system: trigonal. For the density of states at the Fermi level, the calculation gives 2.2 states/eV per cell. The calculation puts the formation energy at 711 meV/atom.

---

[2]
VASP calculation (GGA-PBEsol) on crystalline CdReRh2 at its relaxed geometry.

Cell: 2.7823 2.7823 7.6864 Å, 90.00 90.00 90.00°
Last column: nearest neighbours and their distance in Å.
Space group P4/mmm (No. 123)
Unique sites:
1 Cd 0.0000 0.0000 0.0000 x1  4 Cd 2.78, 8 Rh 2.87
2 Re 0.0000 0.0000 0.5000 x1  8 Rh 2.64, 4 Re 2.78
3 Rh 0.5000 0.5000 0.2714 x2  4 Re 2.64, 4 Rh 2.78, 4 Cd 2.87

Results
As for the raw total energy: -31.43 eV/cell. As for the crystal system: tetragonal. For the density of states at the Fermi level, the calculation gives 2.1 states/eV per cell. The calculation puts the formation energy at -155 meV/atom.

---

[3]
VASP calculation (GGA-PBEsol) on crystalline CdReRh2 at its relaxed geometry.

Cell: 3.7951 3.7951 8.2073 Å, 90.00 90.00 90.00°
Last column: nearest neighbours and their distance in Å.
Space group I-4m2 (No. 119)
Unique sites:
1 Cd 0.0000 0.0000 0.0000 x2  8 Rh 2.68-2.79, 4 Re 2.79
2 Re 0.0000 0.5000 0.2500 x2  8 Rh 2.68-2.79, 4 Cd 2.79
3 Rh 0.0000 0.0000 0.5000 x2  4 Cd 2.68, 4 Re 2.79, 4 Rh 2.79
4 Rh 0.0000 0.5000 0.7500 x2  4 Re 2.68, 4 Cd 2.79, 4 Rh 2.79

Results
As for the raw total energy: -59.32 eV/cell. As for the crystal system: tetragonal. For the density of states at the Fermi level, the calculation gives 7.4 states/eV per cell. The calculation puts the formation energy at 286 meV/atom.

---

[4]
VASP calculation (GGA-PBEsol) on crystalline Cd2ReRh at its relaxed geometry.

Cell: 2.8287 2.8287 8.2605 Å, 90.00 90.00 90.00°
Last column: nearest neighbours and their distance in Å.
Space group P4mm (No. 99)
Unique sites:
1 Cd 0.0000 0.0000 0.0000 x1  8 Cd 2.83-3.15, 4 Rh 2.87
2 Cd 0.5000 0.5000 0.2939 x1  8 Cd 2.83-3.15, 4 Re 2.93
3 Re 0.0000 0.0000 0.5523 x1  4 Rh 2.59, 4 Re 2.83
4 Rh 0.5000 0.5000 0.7511 x1  4 Re 2.59, 4 Rh 2.83, 4 Cd 2.87

Results
As for the raw total energy: -23.61 eV/cell. For the polymorph energy (0 for the lowest one), the calculation gives 0 meV/atom. As for the crystal system: tetragonal. For the density of states at the Fermi level, the calculation gives 1.9 states/eV per cell. The calculation puts the formation energy at 63 meV/atom.

---

[5]
VASP calculation (GGA-PBEsol) on crystalline Cd2ReRh at its relaxed geometry.

Cell: 2.7538 2.7538 8.5636 Å, 90.00 90.00 90.00°
Last column: nearest neighbours and their distance in Å.
Space group P4/mmm (No. 123)
Unique sites:
1 Cd 0.0000 0.0000 0.2381 x2  4 Cd 2.75, 4 Rh 2.82, 4 Re 2.97
2 Re 0.5000 0.5000 0.5000 x1  4 Re 2.75, 8 Cd 2.97
3 Rh 0.5000 0.5000 0.0000 x1  4 Rh 2.75, 8 Cd 2.82

Results
As for the raw total energy: -22.06 eV/cell. For the polymorph energy (0 for the lowest one), the calculation gives 388 meV/atom. As for the crystal system: tetragonal. For the density of states at the Fermi level, the calculation gives 4.5 states/eV per cell. The calculation puts the formation energy at 451 meV/atom.

---

[6]
VASP calculation (GGA-PBEsol) on crystalline Cd2ReRh at its relaxed geometry.

Cell: 2.8324 2.8324 27.8559 Å, 90.00 90.00 120.00°
Last column: nearest neighbours and their distance in Å.
Space group R-3m (No. 166, hexagonal axes)
Unique sites:
1 Cd 0.0000 0.0000 0.2474 x6  3 Rh 2.78, 6 Cd 2.83, 3 Re 2.90
2 Re 0.0000 0.0000 0.0000 x3  6 Re 2.83, 6 Cd 2.90
3 Rh 0.0000 0.0000 0.5000 x3  6 Cd 2.78, 6 Rh 2.83

Results
As for the raw total energy: -67.33 eV/cell. For the polymorph energy (0 for the lowest one), the calculation gives 292 meV/atom. As for the crystal system: trigonal. For the density of states at the Fermi level, the calculation gives 10.0 states/eV per cell. The calculation puts the formation energy at 356 meV/atom.

---

[7]
VASP calculation (GGA-PBEsol) on crystalline CdRe2RuRh at its relaxed geometry.

Cell: 4.6747 4.6747 4.5977 Å, 90.00 90.00 90.00°
Last column: nearest neighbours and their distance in Å.
Space group P4/mmm (No. 123)
Unique sites:
1 Cd 0.0000 0.0000 0.0000 x1  2 Ru 2.30, 4 Re 2.34
2 Re 0.0000 0.5000 0.0000 x2  2 Cd 2.34
3 Ru 0.0000 0.0000 0.5000 x1  2 Cd 2.30
4 Rh 0.5000 0.5000 0.5000 x1  8 Re 3.28, 4 Ru 3.31

Results
As for the raw total energy: -29.79 eV/cell. As for the crystal system: tetragonal. For the density of states at the Fermi level, the calculation gives 8.1 states/eV per cell. The calculation puts the formation energy at 3276 meV/atom.

---

[8]
VASP calculation (GGA-PBEsol) on crystalline CdRe2Ru at its relaxed geometry.

Cell: 2.7429 3.9094 5.7445 Å, 90.00 90.65 90.00°
Last column: nearest neighbours and their distance in Å.
Space group Pm (No. 6)
Unique sites:
1 Cd 0.0000 0.0000 0.0000 x1  2 Cd 2.74, 4 Ru 2.82-2.84, 6 Re 2.86-2.93
2 Re 0.5261 0.5000 0.2873 x1  1 Ru 2.58, 6 Re 2.59-2.79, 2 Cd 2.88
3 Re 0.9597 0.0000 0.5027 x1  6 Re 2.59-2.79, 4 Ru 2.69-2.79, 2 Cd 2.86-2.89
4 Ru 0.5008 0.5000 0.7356 x1  5 Re 2.58-2.79, 2 Ru 2.74, 4 Cd 2.82-2.84

Results
As for the raw total energy: -36.48 eV/cell. As for the crystal system: monoclinic. For the density of states at the Fermi level, the calculation gives 3.7 states/eV per cell. The calculation puts the formation energy at 390 meV/atom.

---

Question: Which of these has the lowest raw total energy?
Answer: number 6

---

Question: Among the records above, which one has the lowest raw total energy?
Answer: number 6

---

Question: Which of these has the highest raw total energy?
Answer: Cd2Re